# 1
KSiRu2Br: optimized geometry, PBE.

Unit cell a=4.9090 b=5.4510 c=4.9090 alpha=90.00 beta=90.00 gamma=90.00
With the nearest neighbours (Å) after each atom.
Sites, in units of the cell vectors:
Ru  0.5000  0.0000  0.0000  2 K 2.45
Ru  0.0000  0.0000  0.5000  2 K 2.45
Si  0.5000  0.5000  0.5000  4 Br 3.47, 8 Ru 3.67
Br  0.0000  0.5000  0.0000  2 K 2.73
K  0.0000  0.0000  0.0000  4 Ru 2.45, 2 Br 2.73

## Properties
Formation energy from raw total energies in eV per atom: 2.424

# 2
PrPuAu: optimized geometry, PBE.

Unit cell a=5.0924 b=5.0924 c=5.0924 alpha=60.00 beta=60.00 gamma=60.00
With the nearest neighbours (Å) after each atom.
Sites, in units of the cell vectors:
Pu  0.0000  0.0000  0.0000  4 Au 3.12
Pr  0.5000  0.5000  0.5000  4 Au 3.12
Au  0.2500  0.2500  0.2500  4 Pr 3.12, 4 Pu 3.12

## Properties
ΔE to the lowest computed polymorph in kJ/mol of formula units: 37
Energy relative to the elements in eV per formula unit: -0.44

# 3
TiBeN2O: optimized geometry, PBE.

Unit cell a=3.9231 b=3.9231 c=3.7938 alpha=90.00 beta=90.00 gamma=90.00
With the nearest neighbours (Å) after each atom.
Sites, in units of the cell vectors:
N  0.5000  0.0000  0.0000  2 Ti 1.96
N  0.0000  0.5000  0.0000  2 Ti 1.96
O  0.0000  0.0000  0.5000  2 Ti 1.90
Ti  0.0000  0.0000  0.0000  2 O 1.90, 4 N 1.96
Be  0.5000  0.5000  0.5000  8 N 2.73, 4 O 2.77

## Properties
Formation energy from raw total energies in eV per atom: 0.199

# 4
NaPmP2: optimized geometry, PBE.

Unit cell a=3.8723 b=4.6431 c=4.6431 alpha=90.00 beta=90.00 gamma=90.00
With the nearest neighbours (Å) after each atom.
Sites, in units of the cell vectors:
Pm  0.5000  0.5000  0.5000  8 P 3.02, 4 Na 3.28
P  0.0000  0.5000  0.0000  4 Pm 3.02, 4 Na 3.02, 4 P 3.28
P  0.0000  0.0000  0.5000  4 Na 3.02, 4 Pm 3.02, 4 P 3.28
Na  0.5000  0.0000  0.0000  8 P 3.02, 4 Pm 3.28

## Properties
ΔE to the lowest computed polymorph in kJ/mol of formula units: 46
Energy relative to the elements in eV per formula unit: -2.33

# 5
CeZrCl2: optimized geometry, PBE.

Unit cell a=3.3906 b=3.3906 c=9.6395 alpha=79.87 beta=79.87 gamma=60.00
With the nearest neighbours (Å) after each atom.
Sites, in units of the cell vectors:
Zr  0.0000  0.0000  0.0000  2 Cl 2.61
Cl  0.0920  0.0920  0.7240  1 Zr 2.61, 3 Ce 2.88
Cl  0.9080  0.9080  0.2760  1 Zr 2.61, 3 Ce 2.88
Ce  0.5000  0.5000  0.5000  6 Cl 2.88

## Properties
Formation energy from raw total energies in eV per atom: -1.018

# 6
TcRhBr2: optimized geometry, PBE.

Unit cell a=6.1350 b=6.1350 c=6.1350 alpha=144.09 beta=144.09 gamma=51.69
With the nearest neighbours (Å) after each atom.
Sites, in units of the cell vectors:
Br  0.0000  0.0000  0.0000  4 Rh 2.67
Br  0.2500  0.7500  0.5000  4 Tc 2.67
Rh  0.5000  0.5000  0.0000  4 Br 2.67
Tc  0.7500  0.2500  0.5000  4 Br 2.67

## Properties
ΔE to the lowest computed polymorph in kJ/mol of formula units: 303
Formation energy from raw total energies in eV per atom: 0.904

# 7
CaGeO2: optimized geometry, PBE.

Unit cell a=5.0725 b=5.0725 c=6.5400 alpha=67.18 beta=67.18 gamma=90.00
With the nearest neighbours (Å) after each atom.
Sites, in units of the cell vectors:
O  0.8750  0.8844  0.7500  2 Ge 2.23, 2 Ca 2.28
O  0.1156  0.6250  0.2500  2 Ge 2.23, 2 Ca 2.28
O  0.6344  0.1250  0.2500  2 Ge 2.23, 2 Ca 2.28
O  0.3750  0.3656  0.7500  2 Ge 2.23, 2 Ca 2.28
Ca  0.5000  0.5000  0.0000  4 O 2.28
Ca  0.2500  0.7500  0.5000  4 O 2.28
Ge  0.7500  0.2500  0.5000  4 O 2.23
Ge  0.0000  0.0000  0.0000  4 O 2.23

## Properties
Formation energy from raw total energies in eV per atom: -1.679

# 8
Zn2BiPb: optimized geometry, PBE.

Unit cell a=5.1730 b=5.1730 c=5.1730 alpha=60.00 beta=60.00 gamma=60.00
With the nearest neighbours (Å) after each atom.
Sites, in units of the cell vectors:
Bi  0.5000  0.5000  0.5000  8 Zn 3.17
Zn  0.2500  0.2500  0.2500  4 Pb 3.17, 4 Bi 3.17
Zn  0.7500  0.7500  0.7500  4 Bi 3.17, 4 Pb 3.17
Pb  0.0000  0.0000  0.0000  8 Zn 3.17

## Properties
ΔE to the lowest computed polymorph in kJ/mol of formula units: 3
Energy relative to the elements in eV per formula unit: 0.70

Taking the records one at a time from the top gives density of states at the Fermi level values of 6.6, 10.5, 2.5, 2.0, 7.1, 3.9, 0.0, 2.7 states/eV/f.u..
Taking the records one at a time from the top gives E values of -14.6, -22.8, -32.2, -19.2, -22.2, -17.4, -46.5, -9.4 eV per cell.